A plane-wave DFT calculation with GGA-PBE was carried out for Er8SbSe6 after structural relaxation.

Cell and atoms, written as POSCAR:
```
Er8SbSe6
1.0
10.4089 0.0000 0.0000
-5.2045 9.0144 0.0000
0.0000 0.0000 4.0128
Er Sb Se
8 1 6
Direct
0.0352 0.7166 0.2547
0.2834 0.3186 0.2547
0.3186 0.0352 0.7453
0.3333 0.6667 0.7483
0.6667 0.3333 0.2517
0.6814 0.9648 0.2547
0.7166 0.6814 0.7453
0.9648 0.2834 0.7453
0.0000 0.0000 0.5000
0.1305 0.4821 0.2493
0.3516 0.8695 0.2493
0.4821 0.3516 0.7507
0.5179 0.6484 0.2493
0.6484 0.1305 0.7507
0.8695 0.5179 0.7507
```

Calculated values
Symmetry: No. 147
Formation energy from raw total energies in eV per formula unit: -19.47

***

A plane-wave DFT calculation with GGA-PBE was carried out for KAl2InF after structural relaxation.

Cell and atoms, written as POSCAR:
```
KAl2InF
1.0
5.0269 0.0000 0.0000
0.0000 5.0269 0.0000
0.0000 0.0000 7.5527
K Al In F
1 2 1 1
Direct
0.0000 0.0000 0.0000
0.0000 0.5000 0.5000
0.5000 0.0000 0.5000
0.0000 0.0000 0.5000
0.5000 0.5000 0.0000
```

Calculated values
Symmetry: No. 123
Formation energy from raw total energies in eV per formula unit: -0.12

***

DFT total energy? In order: -81.0, -13.3 eV per cell.